# Tm4CdGa

Tm4CdGa after structural relaxation (GGA-PBE, Alexandria).

Calculated values
SG   P4/mmm
DOS at the Fermi energy   1.317 states/eV/atom
Energy   -3.700 eV/atom
Magnetic moment   0.0 μB per formula unit
Formation energy from the elements   -0.37 eV/f.u.

```
Tm4CdGa
1.0
-0.691 2.215 4.378
-4.715 -1.519 0.024
1.947 -5.993 3.339
Tm Cd Ga
4 1 1
Cartesian
-4.554 -1.927 3.067 Tm
-3.603 -4.852 4.697 Tm
-0.900 -5.200 2.496 Tm
-1.851 -2.274 0.866 Tm
-0.747 -5.626 5.539 Cd
-3.733 -4.497 1.693 Ga
```